# CuHg

A relaxed CuHg crystal (GGA-PBE, the Alexandria database).

Output
E   -4.0 eV/f.u.
Crystal system   monoclinic
Space-group type   C2/m
Energy relative to the elements   195 meV per atom
V   69 Å³ per cell
N(E_F)   1.2 states/eV per cell

a b c (Å): 3.035 4.725 5.305
angles (deg): 108.80 106.62 90.00
Positions (direct):
Hg 0.482 0.530 0.963
Cu 0.025 0.060 0.050
Cu 0.725 0.356 0.450
Hg 0.268 0.887 0.537

=====

# Cu3Hg5

A relaxed Cu3Hg5 crystal (GGA-PBE, the Alexandria database).

Output
E   -11.9 eV/f.u.
Crystal system   orthorhombic
Space-group type   Cmmm
Energy relative to the elements   242 meV per atom
E above lowest polymorph   34.6 meV/atom
V   162 Å³ per cell
N(E_F)   2.4 states/eV per cell

a b c (Å): 6.743 6.743 3.643
angles (deg): 90.00 90.00 101.89
Positions (direct):
Hg 0.735 0.735 0.500
Cu 0.500 0.500 0.000
Hg 0.500 0.000 0.000
Cu 0.316 0.684 0.500
Cu 0.684 0.316 0.500
Hg 0.000 0.000 0.000
Hg 0.265 0.265 0.500
Hg 0.000 0.500 0.000

=====

# CuHg

A relaxed CuHg crystal (GGA-PBE, the Alexandria database).

Output
E   -3.9 eV/f.u.
Crystal system   orthorhombic
Space-group type   Amm2
Energy relative to the elements   231 meV per atom
V   108 Å³ per cell
N(E_F)   1.9 states/eV per cell

a b c (Å): 8.235 8.235 4.465
angles (deg): 90.00 90.00 159.00
Positions (direct):
Cu 0.338 0.662 0.000
Cu 0.792 0.208 0.500
Cu 0.971 0.029 0.000
Hg 0.104 0.896 0.500
Hg 0.694 0.306 0.000
Hg 0.435 0.565 0.500